# 1
Compound: PmZnAg
Source: the Open Quantum Materials Database
Functional: GGA-PBE
Structure: relaxed

abc: 4.884 4.884 4.884
angles: 60.00 60.00 60.00
Sites, in units of the cell vectors:
Pm: 0.000 0.000 0.000
Zn: 0.250 0.250 0.250
Ag: 0.750 0.750 0.750

Properties
For the total energy, the calculation gives -2.78 eV/atom. The value obtained for the energy of formation is 0.163 eV/atom. As for the energy above the most stable polymorph in this dataset: 47.9 kJ per mole of atoms.

# 2
Compound: ErZnCo
Source: the Open Quantum Materials Database
Functional: GGA-PBE
Structure: relaxed

abc: 4.472 4.472 4.472
angles: 60.00 60.00 60.00
Sites, in units of the cell vectors:
Er: 0.000 0.000 0.000
Zn: 0.250 0.250 0.250
Co: 0.750 0.750 0.750

Properties
For the total energy, the calculation gives -3.76 eV/atom. The value obtained for the energy of formation is 0.551 eV/atom.